Arrangement A

A geometry-optimized Er4Hg2Pb structure. Source: Alexandria, functional PBE.

Results
As for the space group: No. 166. The calculation puts the mass density at 10.65 Mg/m³.

Cell: 9.2582 9.2582 9.2582 Å, 32.10 32.10 32.10°
Fractional positions:
1 Er 0.1181 0.1181 0.1181
2 Er 0.3711 0.3711 0.3711
3 Er 0.6289 0.6289 0.6289
4 Er 0.8819 0.8819 0.8819
5 Hg 0.2580 0.2580 0.2580
6 Hg 0.7420 0.7420 0.7420
7 Pb 0.5000 0.5000 0.5000

=====

Arrangement B

A geometry-optimized Er4Hg2Pb structure. Source: Alexandria, functional PBE.

Results
As for the space group: No. 166. The calculation puts the mass density at 10.03 Mg/m³.

Cell: 10.4675 10.4675 10.4675 Å, 27.20 27.20 27.20°
Fractional positions:
1 Er 0.1163 0.1163 0.1163
2 Er 0.2992 0.2992 0.2992
3 Er 0.7008 0.7008 0.7008
4 Er 0.8837 0.8837 0.8837
5 Hg 0.3975 0.3975 0.3975
6 Hg 0.6025 0.6025 0.6025
7 Pb 0.5000 0.5000 0.5000

=====

The calculated energies rank the structures as follows, beginning with the most stable: arrangement A, arrangement B.

=====

Arrangement A

A geometry-optimized PmErHgPb structure. Source: Alexandria, functional PBE.

Results
As for the space group: No. 99. The calculation puts the mass density at 10.85 Mg/m³.

Cell: 3.8397 3.8397 7.4767 Å, 90.00 90.00 90.00°
Fractional positions:
1 Pm 0.0000 0.0000 0.0000
2 Er 0.0000 0.0000 0.5177
3 Hg 0.5000 0.5000 0.7415
4 Pb 0.5000 0.5000 0.2679

=====

Arrangement B

A geometry-optimized PmErHgPb structure. Source: Alexandria, functional PBE.

Results
As for the space group: No. 216. The calculation puts the mass density at 10.85 Mg/m³.

Cell: 7.6114 7.6114 7.6114 Å, 90.00 90.00 90.00°
Fractional positions:
1 Pm 0.0000 0.0000 0.0000
2 Pm 0.0000 0.5000 0.5000
3 Pm 0.5000 0.0000 0.5000
4 Pm 0.5000 0.5000 0.0000
5 Er 0.0000 0.0000 0.5000
6 Er 0.0000 0.5000 0.0000
7 Er 0.5000 0.0000 0.0000
8 Er 0.5000 0.5000 0.5000
9 Hg 0.2500 0.2500 0.7500
10 Hg 0.2500 0.7500 0.2500
11 Hg 0.7500 0.2500 0.2500
12 Hg 0.7500 0.7500 0.7500
13 Pb 0.2500 0.2500 0.2500
14 Pb 0.2500 0.7500 0.7500
15 Pb 0.7500 0.2500 0.7500
16 Pb 0.7500 0.7500 0.2500

=====

The calculated energies rank the structures as follows, beginning with the most stable: arrangement A, arrangement B.

=====

Arrangement A

A geometry-optimized Er2HgPd structure. Source: Alexandria, functional PBE.

Results
As for the space group: No. 123. The calculation puts the mass density at 11.55 Mg/m³.

Cell: 3.5498 3.5498 7.3176 Å, 90.00 90.00 90.00°
Fractional positions:
1 Er 0.0000 0.0000 0.2288
2 Er 0.0000 0.0000 0.7712
3 Hg 0.5000 0.5000 0.5000
4 Pd 0.5000 0.5000 0.0000

=====

Arrangement B

A geometry-optimized Er2HgPd structure. Source: Alexandria, functional PBE.

Results
As for the space group: No. 225. The calculation puts the mass density at 11.56 Mg/m³.

Cell: 7.1703 7.1703 7.1703 Å, 90.00 90.00 90.00°
Fractional positions:
1 Er 0.2500 0.2500 0.2500
2 Er 0.2500 0.2500 0.7500
3 Er 0.2500 0.7500 0.2500
4 Er 0.2500 0.7500 0.7500
5 Er 0.7500 0.2500 0.2500
6 Er 0.7500 0.2500 0.7500
7 Er 0.7500 0.7500 0.2500
8 Er 0.7500 0.7500 0.7500
9 Hg 0.0000 0.0000 0.0000
10 Hg 0.0000 0.5000 0.5000
11 Hg 0.5000 0.0000 0.5000
12 Hg 0.5000 0.5000 0.0000
13 Pd 0.0000 0.0000 0.5000
14 Pd 0.0000 0.5000 0.0000
15 Pd 0.5000 0.0000 0.0000
16 Pd 0.5000 0.5000 0.5000

=====

Arrangement C

A geometry-optimized Er2HgPd structure. Source: Alexandria, functional PBE.

Results
As for the space group: No. 160. The calculation puts the mass density at 10.20 Mg/m³.

Cell: 4.0035 4.0035 22.5632 Å, 90.00 90.00 120.00°
Fractional positions:
1 Er 0.0000 0.0000 0.0000
2 Er 0.0000 0.0000 0.1908
3 Er 0.3333 0.6667 0.6667
4 Er 0.3333 0.6667 0.8575
5 Er 0.6667 0.3333 0.3333
6 Er 0.6667 0.3333 0.5242
7 Hg 0.0000 0.0000 0.7616
8 Hg 0.3333 0.6667 0.4283
9 Hg 0.6667 0.3333 0.0949
10 Pd 0.0000 0.0000 0.5968
11 Pd 0.3333 0.6667 0.2635
12 Pd 0.6667 0.3333 0.9302

=====

The calculated energies rank the structures as follows, beginning with the most stable: arrangement A, arrangement B, arrangement C.

=====

Arrangement A

A geometry-optimized ErHg3Pd6 structure. Source: Alexandria, functional PBE.

Results
As for the space group: No. 11. The calculation puts the mass density at 12.29 Mg/m³.

Cell: 8.9950 4.1969 11.0076 Å, 90.00 113.72 90.00°
Fractional positions:
1 Er 0.2398 0.2500 0.1719
2 Er 0.7602 0.7500 0.8281
3 Hg 0.0083 0.7500 0.7075
4 Hg 0.2839 0.2500 0.8332
5 Hg 0.2972 0.7500 0.5672
6 Hg 0.7028 0.2500 0.4328
7 Hg 0.7161 0.7500 0.1668
8 Hg 0.9917 0.2500 0.2925
9 Pd 0.0079 0.2500 0.9001
10 Pd 0.0946 0.2500 0.5688
11 Pd 0.2454 0.7500 0.0047
12 Pd 0.3863 0.2500 0.4396
13 Pd 0.4756 0.7500 0.2776
14 Pd 0.4961 0.2500 0.0970
15 Pd 0.5039 0.7500 0.9030
16 Pd 0.5244 0.2500 0.7224
17 Pd 0.6137 0.7500 0.5604
18 Pd 0.7546 0.2500 0.9953
19 Pd 0.9054 0.7500 0.4312
20 Pd 0.9921 0.7500 0.0999

=====

Arrangement B

A geometry-optimized ErHg3Pd6 structure. Source: Alexandria, functional PBE.

Results
As for the space group: No. 11. The calculation puts the mass density at 13.02 Mg/m³.

Cell: 8.8538 4.3031 9.4676 Å, 90.00 95.38 90.00°
Fractional positions:
1 Er 0.0625 0.2500 0.3754
2 Er 0.9375 0.7500 0.6246
3 Hg 0.2453 0.2500 0.0155
4 Hg 0.3437 0.7500 0.8064
5 Hg 0.4485 0.2500 0.6025
6 Hg 0.5515 0.7500 0.3975
7 Hg 0.6563 0.2500 0.1936
8 Hg 0.7547 0.7500 0.9845
9 Pd 0.0537 0.7500 0.9091
10 Pd 0.1466 0.2500 0.6989
11 Pd 0.1513 0.7500 0.2086
12 Pd 0.2462 0.7500 0.5051
13 Pd 0.3599 0.2500 0.3024
14 Pd 0.4519 0.7500 0.0996
15 Pd 0.5481 0.2500 0.9004
16 Pd 0.6401 0.7500 0.6976
17 Pd 0.7538 0.2500 0.4949
18 Pd 0.8487 0.2500 0.7914
19 Pd 0.8534 0.7500 0.3011
20 Pd 0.9463 0.2500 0.0909

=====

The calculated energies rank the structures as follows, beginning with the most stable: arrangement B, arrangement A.

=====

Arrangement A

A geometry-optimized Er3HgPd4 structure. Source: Alexandria, functional PBE.

Results
As for the space group: No. 44. The calculation puts the mass density at 10.33 Mg/m³.

Cell: 5.5426 7.9042 8.2775 Å, 90.00 90.00 90.00°
Fractional positions:
1 Er 0.0000 0.0000 0.0000
2 Er 0.0000 0.2535 0.6022
3 Er 0.0000 0.7465 0.6022
4 Er 0.5000 0.2465 0.1022
5 Er 0.5000 0.5000 0.5000
6 Er 0.5000 0.7535 0.1022
7 Hg 0.0000 0.5000 0.9143
8 Hg 0.5000 0.0000 0.4143
9 Pd 0.0000 0.1821 0.2688
10 Pd 0.0000 0.8179 0.2688
11 Pd 0.2297 0.5000 0.2443
12 Pd 0.2703 0.0000 0.7443
13 Pd 0.5000 0.3179 0.7688
14 Pd 0.5000 0.6821 0.7688
15 Pd 0.7297 0.0000 0.7443
16 Pd 0.7703 0.5000 0.2443

=====

Arrangement B

A geometry-optimized Er3HgPd4 structure. Source: Alexandria, functional PBE.

Results
As for the space group: No. 51. The calculation puts the mass density at 11.60 Mg/m³.

Cell: 9.6613 6.9197 4.8304 Å, 90.00 90.00 90.00°
Fractional positions:
1 Er 0.0000 0.0000 0.0000
2 Er 0.2500 0.0000 0.4994
3 Er 0.2500 0.5000 0.4990
4 Er 0.5000 0.0000 0.0000
5 Er 0.7500 0.0000 0.5006
6 Er 0.7500 0.5000 0.5010
7 Hg 0.0000 0.5000 0.0000
8 Hg 0.5000 0.5000 0.0000
9 Pd 0.0000 0.2417 0.5000
10 Pd 0.0000 0.7583 0.5000
11 Pd 0.2500 0.2417 0.9988
12 Pd 0.2500 0.7583 0.9988
13 Pd 0.5000 0.2417 0.5000
14 Pd 0.5000 0.7583 0.5000
15 Pd 0.7500 0.2417 0.0012
16 Pd 0.7500 0.7583 0.0012

=====

The calculated energies rank the structures as follows, beginning with the most stable: arrangement B, arrangement A.

=====

Arrangement A

A geometry-optimized Er12HgPd6 structure. Source: Alexandria, functional PBE.

Results
As for the space group: No. 204. The calculation puts the mass density at 9.95 Mg/m³.

Cell: 8.5142 8.5142 8.5142 Å, 109.47 109.47 109.47°
Fractional positions:
1 Er 0.1119 0.2944 0.8175
2 Er 0.1825 0.4768 0.2944
3 Er 0.1825 0.8881 0.7056
4 Er 0.2944 0.1825 0.4768
5 Er 0.2944 0.8175 0.1119
6 Er 0.4768 0.2944 0.1825
7 Er 0.5232 0.7056 0.8175
8 Er 0.7056 0.1825 0.8881
9 Er 0.7056 0.8175 0.5232
10 Er 0.8175 0.1119 0.2944
11 Er 0.8175 0.5232 0.7056
12 Er 0.8881 0.7056 0.1825
13 Hg 0.0000 0.0000 0.0000
14 Pd 0.1382 0.5000 0.6382
15 Pd 0.3618 0.8618 0.5000
16 Pd 0.5000 0.3618 0.8618
17 Pd 0.5000 0.6382 0.1382
18 Pd 0.6382 0.1382 0.5000
19 Pd 0.8618 0.5000 0.3618

=====

Arrangement B

A geometry-optimized Er12HgPd6 structure. Source: Alexandria, functional PBE.

Results
As for the space group: No. 148. The calculation puts the mass density at 8.86 Mg/m³.

Cell: 8.3912 8.3912 8.3912 Å, 103.39 103.39 103.39°
Fractional positions:
1 Er 0.0690 0.9253 0.3301
2 Er 0.0747 0.6699 0.9310
3 Er 0.1687 0.4113 0.5540
4 Er 0.3301 0.0690 0.9253
5 Er 0.4113 0.5540 0.1687
6 Er 0.4460 0.8313 0.5887
7 Er 0.5540 0.1687 0.4113
8 Er 0.5887 0.4460 0.8313
9 Er 0.6699 0.9310 0.0747
10 Er 0.8313 0.5887 0.4460
11 Er 0.9253 0.3301 0.0690
12 Er 0.9310 0.0747 0.6699
13 Hg 0.0000 0.0000 0.0000
14 Pd 0.1451 0.6181 0.3167
15 Pd 0.3167 0.1451 0.6181
16 Pd 0.3819 0.6833 0.8549
17 Pd 0.6181 0.3167 0.1451
18 Pd 0.6833 0.8549 0.3819
19 Pd 0.8549 0.3819 0.6833

=====

The calculated energies rank the structures as follows, beginning with the most stable: arrangement A, arrangement B.

=====

Arrangement A

A geometry-optimized PmErHgPd structure. Source: Alexandria, functional PBE.

Results
As for the space group: No. 99. The calculation puts the mass density at 10.63 Mg/m³.

Cell: 3.5582 3.5582 7.6415 Å, 90.00 90.00 90.00°
Fractional positions:
1 Pm 0.0000 0.0000 0.0000
2 Er 0.0000 0.0000 0.4549
3 Hg 0.5000 0.5000 0.7130
4 Pd 0.5000 0.5000 0.2539

=====

Arrangement B

A geometry-optimized PmErHgPd structure. Source: Alexandria, functional PBE.

Results
As for the space group: No. 216. The calculation puts the mass density at 10.59 Mg/m³.

Cell: 7.2968 7.2968 7.2968 Å, 90.00 90.00 90.00°
Fractional positions:
1 Pm 0.0000 0.0000 0.0000
2 Pm 0.0000 0.5000 0.5000
3 Pm 0.5000 0.0000 0.5000
4 Pm 0.5000 0.5000 0.0000
5 Er 0.0000 0.0000 0.5000
6 Er 0.0000 0.5000 0.0000
7 Er 0.5000 0.0000 0.0000
8 Er 0.5000 0.5000 0.5000
9 Hg 0.2500 0.2500 0.2500
10 Hg 0.2500 0.7500 0.7500
11 Hg 0.7500 0.2500 0.7500
12 Hg 0.7500 0.7500 0.2500
13 Pd 0.2500 0.2500 0.7500
14 Pd 0.2500 0.7500 0.2500
15 Pd 0.7500 0.2500 0.2500
16 Pd 0.7500 0.7500 0.7500

=====

The calculated energies rank the structures as follows, beginning with the most stable: arrangement A, arrangement B.

=====

Arrangement A

A geometry-optimized YErHgPd structure. Source: Alexandria, functional PBE.

Results
As for the space group: No. 99. The calculation puts the mass density at 9.98 Mg/m³.

Cell: 3.5682 3.5682 7.3584 Å, 90.00 90.00 90.00°
Fractional positions:
1 Y 0.0000 0.0000 0.0000
2 Er 0.0000 0.0000 0.5410
3 Hg 0.5000 0.5000 0.2744
4 Pd 0.5000 0.5000 0.7609

=====

Arrangement B

A geometry-optimized YErHgPd structure. Source: Alexandria, functional PBE.

Results
As for the space group: No. 216. The calculation puts the mass density at 9.98 Mg/m³.

Cell: 7.2104 7.2104 7.2104 Å, 90.00 90.00 90.00°
Fractional positions:
1 Y 0.0000 0.0000 0.0000
2 Y 0.0000 0.5000 0.5000
3 Y 0.5000 0.0000 0.5000
4 Y 0.5000 0.5000 0.0000
5 Er 0.0000 0.0000 0.5000
6 Er 0.0000 0.5000 0.0000
7 Er 0.5000 0.0000 0.0000
8 Er 0.5000 0.5000 0.5000
9 Hg 0.2500 0.2500 0.7500
10 Hg 0.2500 0.7500 0.2500
11 Hg 0.7500 0.2500 0.2500
12 Hg 0.7500 0.7500 0.7500
13 Pd 0.2500 0.2500 0.2500
14 Pd 0.2500 0.7500 0.7500
15 Pd 0.7500 0.2500 0.7500
16 Pd 0.7500 0.7500 0.2500

=====

The calculated energies rank the structures as follows, beginning with the most stable: arrangement A, arrangement B.

=====

Arrangement A

A geometry-optimized Pm3ErHg4 structure. Source: Alexandria, functional PBE.

Results
As for the space group: No. 71. The calculation puts the mass density at 9.85 Mg/m³.

Cell: 3.8175 7.6189 16.2775 Å, 90.00 90.00 90.00°
Fractional positions:
1 Pm 0.0000 0.0000 0.0000
2 Pm 0.0000 0.5000 0.2020
3 Pm 0.0000 0.5000 0.7980
4 Pm 0.5000 0.0000 0.2980
5 Pm 0.5000 0.0000 0.7020
6 Pm 0.5000 0.5000 0.5000
7 Er 0.0000 0.0000 0.5000
8 Er 0.5000 0.5000 0.0000
9 Hg 0.0000 0.2940 0.3712
10 Hg 0.0000 0.2940 0.6288
11 Hg 0.0000 0.7060 0.3712
12 Hg 0.0000 0.7060 0.6288
13 Hg 0.5000 0.2060 0.1288
14 Hg 0.5000 0.2060 0.8712
15 Hg 0.5000 0.7940 0.1288
16 Hg 0.5000 0.7940 0.8712

=====

Arrangement B

A geometry-optimized Pm3ErHg4 structure. Source: Alexandria, functional PBE.

Results
As for the space group: No. 123. The calculation puts the mass density at 10.77 Mg/m³.

Cell: 3.7616 3.7616 15.3041 Å, 90.00 90.00 90.00°
Fractional positions:
1 Pm 0.0000 0.0000 0.0000
2 Pm 0.0000 0.0000 0.2540
3 Pm 0.0000 0.0000 0.7460
4 Er 0.0000 0.0000 0.5000
5 Hg 0.5000 0.5000 0.1261
6 Hg 0.5000 0.5000 0.3854
7 Hg 0.5000 0.5000 0.6146
8 Hg 0.5000 0.5000 0.8739

=====

The calculated energies rank the structures as follows, beginning with the most stable: arrangement B, arrangement A.

=====

Arrangement A

A geometry-optimized PmEr4Hg structure. Source: Alexandria, functional PBE.

Results
As for the space group: No. 123. The calculation puts the mass density at 9.51 Mg/m³.

Cell: 3.5629 3.5629 13.9621 Å, 90.00 90.00 90.00°
Fractional positions:
1 Pm 0.0000 0.0000 0.0000
2 Er 0.0000 0.0000 0.3576
3 Er 0.0000 0.0000 0.6424
4 Er 0.5000 0.5000 0.1801
5 Er 0.5000 0.5000 0.8199
6 Hg 0.5000 0.5000 0.5000

=====

Arrangement B

A geometry-optimized PmEr4Hg structure. Source: Alexandria, functional PBE.

Results
As for the space group: No. 15. The calculation puts the mass density at 9.36 Mg/m³.

Cell: 8.1913 8.1913 6.3106 Å, 100.01 100.01 115.86°
Fractional positions:
1 Pm 0.0955 0.9045 0.7500
2 Pm 0.9045 0.0955 0.2500
3 Er 0.1008 0.3371 0.8723
4 Er 0.2131 0.5884 0.4546
5 Er 0.3371 0.1008 0.3723
6 Er 0.4116 0.7869 0.0454
7 Er 0.5884 0.2131 0.9546
8 Er 0.6629 0.8992 0.6277
9 Er 0.7869 0.4116 0.5454
10 Er 0.8992 0.6629 0.1277
11 Hg 0.4995 0.5005 0.7500
12 Hg 0.5005 0.4995 0.2500

=====

The calculated energies rank the structures as follows, beginning with the most stable: arrangement A, arrangement B.

=====

Arrangement A

A geometry-optimized PmEr2Hg structure. Source: Alexandria, functional PBE.

Results
As for the space group: No. 166. The calculation puts the mass density at 9.50 Mg/m³.

Cell: 3.6068 3.6068 31.6588 Å, 90.00 90.00 120.00°
Fractional positions:
1 Pm 0.0000 0.0000 0.0000
2 Pm 0.3333 0.6667 0.6667
3 Pm 0.6667 0.3333 0.3333
4 Er 0.0000 0.0000 0.2416
5 Er 0.0000 0.0000 0.7584
6 Er 0.3333 0.6667 0.4251
7 Er 0.3333 0.6667 0.9082
8 Er 0.6667 0.3333 0.0918
9 Er 0.6667 0.3333 0.5749
10 Hg 0.0000 0.0000 0.5000
11 Hg 0.3333 0.6667 0.1667
12 Hg 0.6667 0.3333 0.8333

=====

Arrangement B

A geometry-optimized PmEr2Hg structure. Source: Alexandria, functional PBE.

Results
As for the space group: No. 123. The calculation puts the mass density at 10.10 Mg/m³.

Cell: 4.8300 4.8300 4.7907 Å, 90.00 90.00 90.00°
Fractional positions:
1 Pm 0.0000 0.0000 0.0000
2 Er 0.0000 0.5000 0.5000
3 Er 0.5000 0.0000 0.5000
4 Hg 0.5000 0.5000 0.0000

=====

The calculated energies rank the structures as follows, beginning with the most stable: arrangement A, arrangement B.